Arrangement A

The following is a DFT calculation (PBE-GGA) of a relaxed Sm2Ga2Fe15 crystal.

```
Sm2Ga2Fe15
1.0
6.430 -0.010 -0.001
0.768 6.452 -0.011
0.832 0.666 6.341
Ga Sm Fe
2 2 15
Direct
0.847 0.345 0.345
0.345 0.345 0.847
0.664 0.665 0.664
0.343 0.345 0.343
0.904 0.903 0.904
0.095 0.093 0.095
0.288 0.713 0.001
0.706 0.999 0.294
0.998 0.285 0.712
0.294 0.999 0.706
0.001 0.713 0.288
0.712 0.285 0.998
0.001 0.998 0.497
0.995 0.503 0.995
0.497 0.998 0.001
0.342 0.844 0.342
0.155 0.663 0.656
0.656 0.663 0.155
0.660 0.141 0.660
```

Arrangement B

The following is a DFT calculation (PBE-GGA) of a relaxed Sm2Ga2Fe15 crystal.

```
Sm2Ga2Fe15
1.0
6.424 0.015 0.014
0.843 6.369 0.014
0.843 0.741 6.325
Ga Sm Fe
2 2 15
Direct
0.898 0.898 0.898
0.102 0.102 0.102
0.653 0.653 0.653
0.347 0.347 0.347
0.000 0.000 0.500
0.000 0.500 0.000
0.500 0.000 0.000
0.300 0.700 0.000
0.700 0.000 0.300
0.000 0.300 0.700
0.300 0.000 0.700
0.000 0.700 0.300
0.700 0.300 0.000
0.340 0.340 0.841
0.340 0.841 0.340
0.841 0.340 0.340
0.660 0.660 0.159
0.660 0.159 0.660
0.159 0.660 0.660
```

The energy of each structure relative to the most stable one, in eV/atom, is as follows: arrangement A 0.000; arrangement B 0.059.

Arrangement A

The following is a DFT calculation (PBE-GGA) of a relaxed TbGa6Fe6 crystal.

```
TbGa6Fe6
1.0
6.565 -0.010 0.018
-0.859 6.509 -0.018
-1.076 -4.809 4.337
Tb Ga Fe
1 6 6
Direct
0.000 0.000 0.000
0.815 0.315 0.500
0.655 0.655 0.000
0.345 0.345 0.000
0.334 0.000 0.334
0.185 0.685 0.500
0.666 0.000 0.666
0.757 0.500 0.257
0.243 0.500 0.743
0.000 0.000 0.500
0.500 0.000 0.000
0.000 0.500 0.000
0.500 0.500 0.500
```

Arrangement B

The following is a DFT calculation (PBE-GGA) of a relaxed TbGa6Fe6 crystal.

```
TbGa6Fe6
1.0
0.000 6.023 6.121
2.596 0.000 6.121
2.596 6.023 0.000
Tb Ga Fe
1 6 6
Direct
0.000 0.000 0.000
0.500 0.500 0.000
0.000 0.000 0.500
0.983 0.649 0.351
0.017 0.351 0.649
0.351 0.017 0.983
0.649 0.983 0.017
0.506 0.709 0.291
0.494 0.291 0.709
0.291 0.494 0.506
0.709 0.506 0.494
0.000 0.500 0.000
0.500 0.000 0.500
```

The energy of each structure relative to the most stable one, in eV/atom, is as follows: arrangement A 0.000; arrangement B 0.143.

Arrangement A

The following is a DFT calculation (PBE-GGA) of a relaxed TiGaFeTc crystal.

```
TiGaFeTc
1.0
-2.341 2.090 -2.907
-1.963 -2.165 -3.124
-4.261 -0.379 0.011
Ti Tc Ga Fe
1 1 1 1
Direct
0.250 0.250 0.250
0.000 0.000 0.000
0.750 0.750 0.750
0.500 0.500 0.500
```

Arrangement B

The following is a DFT calculation (PBE-GGA) of a relaxed TiGaFeTc crystal.

```
TiGaFeTc
1.0
-0.475 0.028 3.220
0.811 -4.021 0.154
4.025 0.834 0.586
Ti Ga Fe Tc
1 1 1 1
Direct
0.000 0.000 0.000
0.000 0.500 0.500
0.500 0.000 0.500
0.500 0.500 0.000
```

The energy of each structure relative to the most stable one, in eV/atom, is as follows: arrangement A 0.056; arrangement B 0.000.

Arrangement A

The following is a DFT calculation (PBE-GGA) of a relaxed GaFeTe3 crystal.

```
GaFeTe3
1.0
-1.584 -2.865 -3.922
-3.526 -2.158 3.001
-3.340 3.638 -1.308
Te Fe Ga
3 1 1
Direct
0.000 0.500 0.000
0.000 0.000 0.500
0.500 0.000 0.000
0.000 0.000 0.000
0.500 0.500 0.500
```

Arrangement B

The following is a DFT calculation (PBE-GGA) of a relaxed GaFeTe3 crystal.

```
GaFeTe3
1.0
5.330 0.000 0.000
0.000 5.330 0.000
0.000 0.000 5.330
Te Fe Ga
3 1 1
Direct
0.000 0.500 0.000
0.000 0.000 0.500
0.500 0.000 0.000
0.500 0.500 0.500
0.000 0.000 0.000
```

The energy of each structure relative to the most stable one, in eV/atom, is as follows: arrangement A 0.000; arrangement B 0.475.

Arrangement A

The following is a DFT calculation (PBE-GGA) of a relaxed Th3GaFe crystal.

```
Th3GaFe
1.0
3.851 0.000 0.000
0.000 6.831 0.000
0.000 0.000 10.010
Th Ga Fe
6 2 2
Direct
0.750 0.750 0.085
0.250 0.250 0.915
0.750 0.995 0.654
0.750 0.505 0.654
0.250 0.005 0.346
0.250 0.495 0.346
0.750 0.250 0.151
0.250 0.750 0.849
0.750 0.750 0.404
0.250 0.250 0.596
```

Arrangement B

The following is a DFT calculation (PBE-GGA) of a relaxed Th3GaFe crystal.

```
Th3GaFe
1.0
6.410 -0.590 -0.526
-0.163 9.121 -1.356
-0.163 -0.312 9.216
Th Ga Fe
12 4 4
Direct
0.611 0.204 0.052
0.111 0.052 0.204
0.889 0.948 0.796
0.389 0.796 0.948
0.965 0.281 0.532
0.465 0.532 0.281
0.535 0.468 0.719
0.035 0.719 0.468
0.889 0.659 0.067
0.389 0.067 0.659
0.611 0.933 0.341
0.111 0.341 0.933
0.975 0.418 0.257
0.475 0.257 0.418
0.525 0.743 0.582
0.025 0.582 0.743
0.250 0.762 0.238
0.250 0.070 0.930
0.750 0.238 0.762
0.750 0.930 0.070
```

The energy of each structure relative to the most stable one, in eV/atom, is as follows: arrangement A 0.000; arrangement B 0.033.

Arrangement A

The following is a DFT calculation (PBE-GGA) of a relaxed TlGaFe3 crystal.

```
TlGaFe3
1.0
4.885 0.000 0.000
0.000 4.885 0.000
0.000 0.000 4.885
Tl Fe Ga
1 3 1
Direct
0.000 0.000 0.000
0.000 0.500 0.000
0.000 0.000 0.500
0.500 0.000 0.000
0.500 0.500 0.500
```

Arrangement B

The following is a DFT calculation (PBE-GGA) of a relaxed TlGaFe3 crystal.

```
TlGaFe3
1.0
4.520 0.000 0.000
0.000 4.520 0.000
0.000 0.000 4.520
Tl Fe Ga
1 3 1
Direct
0.500 0.500 0.500
0.000 0.500 0.000
0.000 0.000 0.500
0.500 0.000 0.000
0.000 0.000 0.000
```

The energy of each structure relative to the most stable one, in eV/atom, is as follows: arrangement A 0.699; arrangement B 0.000.

Arrangement A

The following is a DFT calculation (PBE-GGA) of a relaxed TlGa2Fe crystal.

```
TlGa2Fe
1.0
-2.554 1.192 -3.203
-1.797 -3.869 -0.006
-8.221 1.460 4.257
Tl Fe Ga
2 2 4
Direct
0.000 0.000 0.000
0.750 0.250 0.500
0.500 0.500 0.000
0.250 0.750 0.500
0.540 0.125 0.250
0.210 0.625 0.250
0.375 0.460 0.750
0.875 0.790 0.750
```

Arrangement B

The following is a DFT calculation (PBE-GGA) of a relaxed TlGa2Fe crystal.

```
TlGa2Fe
1.0
0.000 3.391 3.391
3.391 0.000 3.391
3.391 3.391 0.000
Tl Fe Ga
1 1 2
Direct
0.500 0.500 0.500
0.000 0.000 0.000
0.250 0.250 0.250
0.750 0.750 0.750
```

The energy of each structure relative to the most stable one, in eV/atom, is as follows: arrangement A 0.000; arrangement B 0.156.

Arrangement A

The following is a DFT calculation (PBE-GGA) of a relaxed TmGa3Fe crystal.

```
TmGa3Fe
1.0
-2.782 2.816 0.731
-2.302 -4.044 6.821
6.946 5.420 5.558
Tm Ga Fe
4 12 4
Direct
0.750 0.797 0.012
0.250 0.703 0.512
0.750 0.297 0.488
0.250 0.203 0.988
0.250 0.551 0.084
0.750 0.449 0.916
0.250 0.051 0.416
0.750 0.949 0.584
0.250 0.396 0.709
0.750 0.104 0.209
0.250 0.896 0.791
0.750 0.650 0.718
0.250 0.350 0.282
0.750 0.150 0.782
0.750 0.604 0.291
0.250 0.850 0.218
0.250 0.119 0.645
0.250 0.619 0.855
0.750 0.381 0.145
0.750 0.881 0.355
```

Arrangement B

The following is a DFT calculation (PBE-GGA) of a relaxed TmGa3Fe crystal.

```
TmGa3Fe
1.0
-3.616 -0.696 3.925
2.101 -5.675 0.928
2.430 4.704 3.073
Tm Ga Fe
2 6 2
Direct
0.750 0.333 0.667
0.250 0.667 0.333
0.750 0.809 0.619
0.250 0.191 0.809
0.750 0.381 0.191
0.250 0.619 0.809
0.250 0.191 0.381
0.750 0.809 0.191
0.500 0.000 0.000
0.000 0.000 0.000
```

Arrangement C

The following is a DFT calculation (PBE-GGA) of a relaxed TmGa3Fe crystal.

```
TmGa3Fe
1.0
-2.098 1.359 -3.767
-1.815 -4.113 -0.473
-3.569 1.293 2.455
Tm Fe Ga
1 1 3
Direct
0.500 0.500 0.500
0.000 0.000 0.000
0.000 0.500 0.000
0.000 0.000 0.500
0.500 0.000 0.000
```

The energy of each structure relative to the most stable one, in eV/atom, is as follows: arrangement A 0.000; arrangement B 0.036; arrangement C 0.162.

Arrangement A

The following is a DFT calculation (PBE-GGA) of a relaxed V2Ga2Fe crystal.

```
V2Ga2Fe
1.0
3.569 0.000 0.000
0.000 3.569 0.000
1.785 1.785 6.035
Fe Ga V
1 2 2
Direct
0.000 0.000 0.000
0.750 0.250 0.500
0.250 0.750 0.500
0.416 0.416 0.168
0.584 0.584 0.832
```

Arrangement B

The following is a DFT calculation (PBE-GGA) of a relaxed V2Ga2Fe crystal.

```
V2Ga2Fe
1.0
-5.331 -3.552 -0.340
3.000 -4.792 3.030
-1.024 1.250 2.990
Fe Ga V
2 4 4
Direct
0.000 0.000 0.000
0.500 0.500 0.000
0.366 0.866 0.000
0.866 0.634 0.000
0.634 0.134 0.000
0.134 0.366 0.000
0.170 0.670 0.500
0.670 0.830 0.500
0.830 0.330 0.500
0.330 0.170 0.500
```

The energy of each structure relative to the most stable one, in eV/atom, is as follows: arrangement A 0.425; arrangement B 0.000.

Arrangement A

The following is a DFT calculation (PBE-GGA) of a relaxed VGa2Fe2 crystal.

```
VGa2Fe2
1.0
-0.427 1.779 6.799
0.182 -6.806 1.792
2.652 0.107 0.138
Fe Ga V
4 4 2
Direct
0.153 0.653 0.500
0.653 0.847 0.500
0.847 0.347 0.500
0.347 0.153 0.500
0.356 0.856 0.000
0.856 0.644 0.000
0.644 0.144 0.000
0.144 0.356 0.000
0.000 0.000 0.000
0.500 0.500 0.000
```

Arrangement B

The following is a DFT calculation (PBE-GGA) of a relaxed VGa2Fe2 crystal.

```
VGa2Fe2
1.0
-5.447 1.035 3.555
-1.508 -6.396 -0.447
1.520 -0.532 2.484
Fe Ga V
4 4 2
Direct
0.362 0.862 0.000
0.862 0.638 0.000
0.638 0.138 0.000
0.138 0.362 0.000
0.161 0.661 0.500
0.661 0.839 0.500
0.839 0.339 0.500
0.339 0.161 0.500
0.000 0.000 0.000
0.500 0.500 0.000
```

The energy of each structure relative to the most stable one, in eV/atom, is as follows: arrangement A 0.000; arrangement B 0.049.

Arrangement A

The following is a DFT calculation (PBE-GGA) of a relaxed Ga2FeW crystal.

```
Ga2FeW
1.0
-0.809 -3.933 -5.466
2.374 -5.319 3.475
-1.719 -5.221 -0.197
Ga W Fe
4 2 2
Direct
0.603 0.125 0.250
0.147 0.625 0.250
0.375 0.397 0.750
0.875 0.853 0.750
0.000 0.000 0.000
0.750 0.250 0.500
0.500 0.500 0.000
0.250 0.750 0.500
```

Arrangement B

The following is a DFT calculation (PBE-GGA) of a relaxed Ga2FeW crystal.

```
Ga2FeW
1.0
1.357 1.325 3.899
-2.696 -0.132 3.394
0.643 -2.889 3.168
Ga W Fe
2 1 1
Direct
0.250 0.250 0.250
0.750 0.750 0.750
0.500 0.500 0.500
0.000 0.000 0.000
```

The energy of each structure relative to the most stable one, in eV/atom, is as follows: arrangement A 0.202; arrangement B 0.000.